[1]
DFT (PBE-GGA) results for crystalline CaAcNiBi at its relaxed geometry.

Properties
For the formation energy, the calculation gives -1.4 eV/f.u. As for the space group: F-43m, No. 216. The density of states at the Fermi level is 0.13 states/eV per atom.

CIF file:
```
data_CaAcNiBi
_chemical_formula_sum 'Ca1 Ac1 Ni1 Bi1'
_cell_length_a 5.4794
_cell_length_b 5.4794
_cell_length_c 5.4794
_cell_angle_alpha 60.00
_cell_angle_beta 60.00
_cell_angle_gamma 60.00
_space_group_name_H-M_alt 'P 1'
_space_group_IT_number 1
_space_group_name_Hall 'P 1'
loop_
_atom_site_label
_atom_site_fract_x
_atom_site_fract_y
_atom_site_fract_z
_atom_site_occupancy
Ni1 0.5000 0.5000 0.5000 1
Ac1 0.2500 0.2500 0.2500 1
Ca1 0.7500 0.7500 0.7500 1
Bi1 0.0000 0.0000 0.0000 1
```

***

[2]
DFT (PBE-GGA) results for crystalline CaAc2BiO6 at its relaxed geometry.

Properties
As for the space group: P2_1/c, No. 14. The density of states at the Fermi level is 0.40 states/eV per atom. The uncorrected formation energy is -59.638 kcal/mol of atoms.

CIF file:
```
data_CaAc2BiO6
_chemical_formula_sum 'Ca2 Ac4 Bi2 O12'
_cell_length_a 6.0445
_cell_length_b 6.2977
_cell_length_c 8.7388
_cell_angle_alpha 90.00
_cell_angle_beta 89.74
_cell_angle_gamma 90.00
_space_group_name_H-M_alt 'P 1'
_space_group_IT_number 1
_space_group_name_Hall 'P 1'
loop_
_atom_site_label
_atom_site_fract_x
_atom_site_fract_y
_atom_site_fract_z
_atom_site_occupancy
Ca1 0.5000 0.0000 0.0000 1
Ca2 0.0000 0.5000 0.5000 1
Ac1 0.0181 0.9444 0.2520 1
Ac2 0.5181 0.5556 0.7520 1
Ac3 0.9819 0.0556 0.7480 1
Ac4 0.4819 0.4444 0.2480 1
Bi1 0.5000 0.0000 0.5000 1
Bi2 0.0000 0.5000 0.0000 1
O1 0.3006 0.6944 0.0634 1
O2 0.8006 0.8056 0.5634 1
O3 0.6994 0.3056 0.9366 1
O4 0.1994 0.1944 0.4366 1
O5 0.3078 0.7038 0.4290 1
O6 0.8078 0.7962 0.9290 1
O7 0.6922 0.2962 0.5710 1
O8 0.1922 0.2038 0.0710 1
O9 0.8741 0.5578 0.2449 1
O10 0.3741 0.9422 0.7449 1
O11 0.1259 0.4422 0.7551 1
O12 0.6259 0.0578 0.2551 1
```

***

[3]
DFT (PBE-GGA) results for crystalline Ca2Ac4Bi3O2 at its relaxed geometry.

Properties
As for the space group: I4/mmm, No. 139. The density of states at the Fermi level is 0.29 states/eV per atom. The uncorrected formation energy is -34.037 kcal/mol of atoms.

CIF file:
```
data_Ca2Ac4Bi3O2
_chemical_formula_sum 'Ca2 Ac4 Bi3 O2'
_cell_length_a 5.1379
_cell_length_b 5.1379
_cell_length_c 13.7696
_cell_angle_alpha 100.75
_cell_angle_beta 100.75
_cell_angle_gamma 90.00
_space_group_name_H-M_alt 'P 1'
_space_group_IT_number 1
_space_group_name_Hall 'P 1'
loop_
_atom_site_label
_atom_site_fract_x
_atom_site_fract_y
_atom_site_fract_z
_atom_site_occupancy
Ca1 0.3039 0.3039 0.6078 1
Ca2 0.6961 0.6961 0.3922 1
Ac1 0.4137 0.9137 0.8273 1
Ac2 0.9137 0.4137 0.8273 1
Ac3 0.0863 0.5863 0.1727 1
Ac4 0.5863 0.0863 0.1727 1
Bi1 0.0000 0.0000 0.0000 1
Bi2 0.1815 0.1815 0.3631 1
Bi3 0.8185 0.8185 0.6369 1
O1 0.3927 0.3927 0.7854 1
O2 0.6073 0.6073 0.2146 1
```

***

[4]
DFT (PBE-GGA) results for crystalline Ca3AcBi2P at its relaxed geometry.

Properties
For the formation energy, the calculation gives -6.2 eV/f.u. As for the space group: Immm, No. 71. The density of states at the Fermi level is 0.02 states/eV per atom.

CIF file:
```
data_Ca3AcBi2P
_chemical_formula_sum 'Ca3 Ac1 Bi2 P1'
_cell_length_a 5.7683
_cell_length_b 5.3631
_cell_length_c 9.2289
_cell_angle_alpha 106.89
_cell_angle_beta 108.21
_cell_angle_gamma 90.00
_space_group_name_H-M_alt 'P 1'
_space_group_IT_number 1
_space_group_name_Hall 'P 1'
loop_
_atom_site_label
_atom_site_fract_x
_atom_site_fract_y
_atom_site_fract_z
_atom_site_occupancy
Ca1 0.0000 0.5000 0.0000 1
Ca2 0.1732 0.1732 0.3464 1
Ca3 0.8268 0.8268 0.6536 1
Ac1 0.5000 0.0000 0.0000 1
Bi1 0.6374 0.6374 0.2748 1
Bi2 0.3626 0.3626 0.7252 1
P1 0.0000 0.0000 0.0000 1
```

***

[5]
DFT (PBE-GGA) results for crystalline CaAcBiPb at its relaxed geometry.

Properties
For the formation energy, the calculation gives -2.3 eV/f.u. As for the space group: F-43m, No. 216. The density of states at the Fermi level is 0.90 states/eV per atom.

CIF file:
```
data_CaAcBiPb
_chemical_formula_sum 'Ca1 Ac1 Bi1 Pb1'
_cell_length_a 5.7789
_cell_length_b 5.7789
_cell_length_c 5.7789
_cell_angle_alpha 60.00
_cell_angle_beta 60.00
_cell_angle_gamma 60.00
_space_group_name_H-M_alt 'P 1'
_space_group_IT_number 1
_space_group_name_Hall 'P 1'
loop_
_atom_site_label
_atom_site_fract_x
_atom_site_fract_y
_atom_site_fract_z
_atom_site_occupancy
Pb1 0.2500 0.2500 0.2500 1
Ac1 0.0000 0.0000 0.0000 1
Ca1 0.5000 0.5000 0.5000 1
Bi1 0.7500 0.7500 0.7500 1
```

***

[6]
DFT (PBE-GGA) results for crystalline CaAcPmBi at its relaxed geometry.

Properties
For the formation energy, the calculation gives -0.5 eV/f.u. As for the space group: F-43m, No. 216. The density of states at the Fermi level is 1.57 states/eV per atom.

CIF file:
```
data_CaAcPmBi
_chemical_formula_sum 'Ca1 Ac1 Pm1 Bi1'
_cell_length_a 5.7904
_cell_length_b 5.7904
_cell_length_c 5.7904
_cell_angle_alpha 60.00
_cell_angle_beta 60.00
_cell_angle_gamma 60.00
_space_group_name_H-M_alt 'P 1'
_space_group_IT_number 1
_space_group_name_Hall 'P 1'
loop_
_atom_site_label
_atom_site_fract_x
_atom_site_fract_y
_atom_site_fract_z
_atom_site_occupancy
Ac1 0.2500 0.2500 0.2500 1
Ca1 0.0000 0.0000 0.0000 1
Bi1 0.7500 0.7500 0.7500 1
Pm1 0.5000 0.5000 0.5000 1
```

***

[7]
DFT (PBE-GGA) results for crystalline CaAc2PmBi4 at its relaxed geometry.

Properties
For the formation energy, the calculation gives -7.0 eV/f.u. As for the space group: P2/m, No. 10. The density of states at the Fermi level is 0.65 states/eV per atom.

CIF file:
```
data_CaAc2PmBi4
_chemical_formula_sum 'Ca1 Ac2 Pm1 Bi4'
_cell_length_a 4.7789
_cell_length_b 8.1250
_cell_length_c 8.2833
_cell_angle_alpha 70.13
_cell_angle_beta 90.00
_cell_angle_gamma 90.00
_space_group_name_H-M_alt 'P 1'
_space_group_IT_number 1
_space_group_name_Hall 'P 1'
loop_
_atom_site_label
_atom_site_fract_x
_atom_site_fract_y
_atom_site_fract_z
_atom_site_occupancy
Ca1 0.5000 0.5000 0.0000 1
Ac1 0.0000 0.0000 0.0000 1
Ac2 0.5000 0.0000 0.5000 1
Pm1 0.0000 0.5000 0.5000 1
Bi1 0.0000 0.7342 0.7532 1
Bi2 0.0000 0.2658 0.2468 1
Bi3 0.5000 0.7333 0.2574 1
Bi4 0.5000 0.2667 0.7426 1
```

***

[8]
DFT (PBE-GGA) results for crystalline CaAcPr2Bi4 at its relaxed geometry.

Properties
For the formation energy, the calculation gives -7.0 eV/f.u. As for the space group: P2/m, No. 10. The density of states at the Fermi level is 0.58 states/eV per atom.

CIF file:
```
data_CaAcPr2Bi4
_chemical_formula_sum 'Ca1 Ac1 Pr2 Bi4'
_cell_length_a 4.7044
_cell_length_b 8.2349
_cell_length_c 8.0903
_cell_angle_alpha 70.68
_cell_angle_beta 90.00
_cell_angle_gamma 90.00
_space_group_name_H-M_alt 'P 1'
_space_group_IT_number 1
_space_group_name_Hall 'P 1'
loop_
_atom_site_label
_atom_site_fract_x
_atom_site_fract_y
_atom_site_fract_z
_atom_site_occupancy
Ca1 0.5000 0.5000 0.0000 1
Ac1 0.0000 0.5000 0.5000 1
Pr1 0.0000 0.0000 0.0000 1
Pr2 0.5000 0.0000 0.5000 1
Bi1 0.0000 0.7560 0.7530 1
Bi2 0.0000 0.2440 0.2470 1
Bi3 0.5000 0.7597 0.2415 1
Bi4 0.5000 0.2403 0.7585 1
```